Compound: LiSm2Tm
Source: Alexandria
Functional: GGA-PBE
Structure: optimized geometry

Cell and atoms, written as POSCAR:
```
LiSm2Tm
1.0
-1.220 -1.666 -2.983
0.122 -3.187 1.730
-8.454 1.193 2.792
Sm Li Tm
2 1 1
Direct
0.000 0.000 0.770 Sm
0.000 0.000 0.230 Sm
0.500 0.500 0.000 Li
0.500 0.500 0.500 Tm
```

SG: No. 123


Compound: Li2SmTm
Source: Alexandria
Functional: GGA-PBE
Structure: optimized geometry

Cell and atoms, written as POSCAR:
```
Li2SmTm
1.0
3.321 0.000 0.000
1.660 2.876 0.000
1.660 0.959 11.811
Sm Li Tm
1 2 1
Direct
0.500 0.500 0.500 Sm
0.913 0.913 0.262 Li
0.087 0.087 0.738 Li
0.000 0.000 0.000 Tm
```

SG: No. 166


Compound: LiSmTm2
Source: Alexandria
Functional: GGA-PBE
Structure: optimized geometry

Cell and atoms, written as POSCAR:
```
LiSmTm2
1.0
3.686 0.000 0.000
0.000 5.600 0.000
0.000 0.000 5.600
Tm Sm Li
2 1 1
Direct
0.000 0.000 0.500 Tm
0.000 0.500 0.000 Tm
0.500 0.500 0.500 Sm
0.500 0.000 0.000 Li
```

SG: No. 123


Compound: LiSmTm2
Source: Alexandria
Functional: GGA-PBE
Structure: optimized geometry

Cell and atoms, written as POSCAR:
```
LiSmTm2
1.0
-3.386 0.643 0.167
-2.246 -2.202 -1.419
-2.516 -6.574 9.984
Sm Tm Li
1 2 1
Direct
0.500 0.500 0.500 Sm
0.088 0.088 0.736 Tm
0.912 0.912 0.264 Tm
0.000 0.000 0.000 Li
```

SG: No. 166


Compound: Li2SmTm
Source: Alexandria
Functional: GGA-PBE
Structure: optimized geometry

Cell and atoms, written as POSCAR:
```
Li2SmTm
1.0
-1.817 4.895 0.669
-4.422 0.816 2.737
0.223 2.265 4.747
Tm Li Sm
1 2 1
Direct
0.000 0.000 0.000 Tm
0.250 0.250 0.250 Li
0.750 0.750 0.750 Li
0.500 0.500 0.500 Sm
```

SG: No. 225


Compound: LiSm2Tm
Source: Alexandria
Functional: GGA-PBE
Structure: optimized geometry

Cell and atoms, written as POSCAR:
```
LiSm2Tm
1.0
3.522 0.002 0.001
1.763 3.049 0.001
1.765 1.019 11.328
Sm Tm Li
2 1 1
Direct
0.249 0.249 0.252 Sm
0.084 0.084 0.748 Sm
0.667 0.667 0.000 Tm
0.500 0.500 0.500 Li
```

SG: No. 160


Compound: LiSm2V
Source: Alexandria
Functional: GGA-PBE
Structure: optimized geometry

Cell and atoms, written as POSCAR:
```
LiSm2V
1.0
-1.295 -2.836 0.998
0.790 -1.218 2.934
-8.895 4.282 5.999
Sm V Li
2 1 1
Direct
0.082 0.082 0.755 Sm
0.918 0.918 0.245 Sm
0.000 0.000 0.000 V
0.500 0.500 0.500 Li
```

SG: No. 166


Compound: Li2SmY
Source: Alexandria
Functional: GGA-PBE
Structure: optimized geometry

Cell and atoms, written as POSCAR:
```
Li2SmY
1.0
-1.156 -0.285 3.552
2.625 -2.593 0.646
4.840 5.400 2.008
Li Y Sm
2 1 1
Direct
0.000 0.000 0.748 Li
0.000 0.000 0.252 Li
0.500 0.500 0.500 Y
0.500 0.500 0.000 Sm
```

SG: No. 123


The formation energy results, record by record, are as follows: 27; 113; 74; 79; 61; 29; 257; 54 kJ/mol of formula units.
The energy results, record by record, are as follows: -3.887; -2.961; -3.703; -3.690; -3.098; -3.880; -4.452; -3.613 eV per atom.